[1]
Entry from the Alexandria database: a geometry-optimized NiMo2Ir structure (GGA-PBEsol).

Cell lengths 3.7386, 3.7386, 4.7241 Å; angles 113.31, 113.31, 90.00 degrees
Fractional positions:
Ir1 0.5000 0.5000 0.0000
Mo1 0.7500 0.2500 0.5000
Mo2 0.2500 0.7500 0.5000
Ni1 0.0000 0.0000 0.0000

Calculated values
The total DFT energy (no corrections) is -0.7365 Ry per atom. Its formation energy is -142.1 meV per atom.

***

[2]
Entry from the Alexandria database: a geometry-optimized NiMo2Ir structure (GGA-PBEsol).

Cell lengths 2.7186, 3.7113, 5.5076 Å; angles 90.00, 90.00, 90.00 degrees
Fractional positions:
Ni1 0.0000 0.0000 0.4957
Ir1 0.5000 0.5000 0.7454
Mo1 0.5000 0.5000 0.2765
Mo2 0.0000 0.0000 0.9824

Calculated values
The total DFT energy (no corrections) is -0.7286 Ry per atom. Its formation energy is -34.2 meV per atom.

***

[3]
Entry from the Alexandria database: a geometry-optimized NiMo2Ir structure (GGA-PBEsol).

Cell lengths 2.6884, 4.6848, 4.6848 Å; angles 111.27, 90.00, 90.00 degrees
Fractional positions:
Ni1 0.5000 0.0000 0.0000
Mo1 0.0000 0.0000 0.5000
Mo2 0.0000 0.5000 0.0000
Ir1 0.5000 0.5000 0.5000

Calculated values
The total DFT energy (no corrections) is -0.7362 Ry per atom. Its formation energy is -138.0 meV per atom.

***

[4]
Entry from the Alexandria database: a geometry-optimized Ni2MoIr structure (GGA-PBEsol).

Cell lengths 2.6349, 2.6349, 8.6044 Å; angles 81.19, 81.19, 60.00 degrees
Last column: magnetic moment on the atom in μB.
Fractional positions:
Ir1 0.5000 0.5000 0.5000  0.08
Ni1 0.2495 0.2495 0.2515  0.20
Ni2 0.7505 0.7505 0.7485  0.20
Mo1 0.0000 0.0000 0.0000  0.02

Calculated values
The total DFT energy (no corrections) is -0.6158 Ry per atom. Its formation energy is 97.6 meV per atom.

***

[5]
Entry from the Alexandria database: a geometry-optimized NiMo2Ir structure (GGA-PBEsol).

Cell lengths 3.7511, 3.7511, 3.8832 Å; angles 90.00, 90.00, 90.00 degrees
Fractional positions:
Mo1 0.0000 0.5000 0.0000
Mo2 0.5000 0.0000 0.0000
Ir1 0.0000 0.0000 0.5000
Ni1 0.5000 0.5000 0.5000

Calculated values
The total DFT energy (no corrections) is -0.7381 Ry per atom. Its formation energy is -163.0 meV per atom.

***

[6]
Entry from the Alexandria database: a geometry-optimized NiMo2Ir structure (GGA-PBEsol).

Cell lengths 2.6904, 3.8554, 5.2785 Å; angles 90.00, 90.00, 90.00 degrees
Fractional positions:
Mo1 0.0000 0.0000 0.2446
Mo2 0.0000 0.0000 0.7554
Ni1 0.5000 0.5000 0.0000
Ir1 0.5000 0.5000 0.5000

Calculated values
The total DFT energy (no corrections) is -0.7380 Ry per atom. Its formation energy is -161.5 meV per atom.

***

[7]
Entry from the Alexandria database: a geometry-optimized TlNiMoIr2 structure (GGA-PBEsol).

Cell lengths 4.4736, 4.8516, 4.8516 Å; angles 90.00, 90.00, 90.00 degrees
Last column: magnetic moment on the atom in μB.
Fractional positions:
Ir1 0.0000 0.0000 0.5000  -0.04
Ir2 0.0000 0.5000 0.0000  -0.04
Tl1 0.0000 0.0000 0.0000  -0.01
Mo1 0.5000 0.5000 0.5000  2.80
Ni1 0.5000 0.0000 0.0000  -0.19

Calculated values
The total DFT energy (no corrections) is -0.4092 Ry per atom. Its formation energy is 2473.3 meV per atom.

***

[8]
Entry from the Alexandria database: a geometry-optimized MoIrO2 structure (GGA-PBEsol).

Cell lengths 3.7779, 3.7779, 6.9620 Å; angles 105.74, 105.74, 90.00 degrees
Fractional positions:
Ir1 0.2500 0.7500 0.5000
Ir2 0.0000 0.0000 0.0000
Mo1 0.5000 0.5000 0.0000
Mo2 0.7500 0.2500 0.5000
O1 0.8526 0.3750 0.2500
O2 0.3974 0.8750 0.2500
O3 0.1250 0.1474 0.7500
O4 0.6250 0.6026 0.7500

Calculated values
The calculation puts the uncorrected formation energy at -493 meV/atom. The total DFT energy (no corrections) is -0.6259 Ry per atom.